# 1
Computed, not measured: a relaxed structure of Mo3IrPd at the PBE level of DFT.

- E above lowest polymorph (meV/atom) = 0.0
- DFT formation energy (meV/atom) = 1571
- crystal system = cubic

Unit cell a=4.7103 b=4.7103 c=4.7103 alpha=90.00 beta=90.00 gamma=90.00
Space group Pm-3m (No. 221)
Unique sites:
Mo 0.0000 0.0000 0.5000 x3
Ir 0.0000 0.0000 0.0000 x1
Pd 0.5000 0.5000 0.5000 x1

***

# 2
Computed, not measured: a relaxed structure of TaFe2CoH at the PBE level of DFT.

- E above lowest polymorph (meV/atom) = 0.0
- crystal system = tetragonal

Unit cell a=3.6951 b=3.6951 c=3.6638 alpha=90.00 beta=90.00 gamma=90.00
Space group P4/mmm (No. 123)
Unique sites:
Ta 0.0000 0.0000 0.0000 x1
Fe 0.0000 0.5000 0.5000 x2
Co 0.5000 0.5000 0.0000 x1
H 0.5000 0.5000 0.5000 x1

***

# 3
Computed, not measured: a relaxed structure of BRu2PbW at the PBE level of DFT.

- DFT formation energy (meV/atom) = 931
- crystal system = tetragonal

Unit cell a=4.1555 b=4.1555 c=4.6983 alpha=90.00 beta=90.00 gamma=90.00
Space group P4/mmm (No. 123)
Unique sites:
B 0.0000 0.0000 0.0000 x1
Ru 0.0000 0.5000 0.0000 x2
Pb 0.0000 0.0000 0.5000 x1
W 0.5000 0.5000 0.5000 x1

***

DOS at the Fermi energy readings, ordered: 7.6; 4.5; 4.8 states/eV/cell